Record 1
First-principles (GGA-PBE) data for ZrP2PdO after structural relaxation, as listed in Alexandria via LeMat-Bulk.

Values from the calculation:
The density of states at the Fermi level comes out at 0.8789 states/eV/atom. The calculation puts the uncorrected formation energy at -11 kJ/mol of formula units. As for the symmetry: No. 123.

abc: 4.636 4.636 3.940
angles: 90.00 90.00 90.00
Fractional positions:
1 Zr 0.000 0.000 0.000
2 P 0.000 0.500 0.500
3 P 0.500 0.000 0.500
4 Pd 0.500 0.500 0.500
5 O 0.500 0.500 0.000



Record 2
First-principles (GGA-PBE) data for CoTe2HI after structural relaxation, as listed in Alexandria via LeMat-Bulk.

Values from the calculation:
The value obtained for the total energy is -2.931 eV per atom. The density of states at the Fermi level comes out at 1.3297 states/eV/atom. As for the symmetry: No. 123.

abc: 4.262 4.262 7.859
angles: 90.00 90.00 90.00
Fractional positions:
1 Co 0.000 0.000 0.000
2 Te 0.000 0.500 0.500
3 Te 0.500 0.000 0.500
4 H 0.500 0.500 0.500
5 I 0.500 0.500 0.000